Li4MnCo3O8: relaxed, PBE+U.

Structure (POSCAR):
```
Li4MnCo3O8
1.0
2.933 1.693 4.852
-2.933 1.693 4.852
0.000 -3.386 4.852
Li Mn Co O
4 1 3 8
Direct
0.000 0.000 0.000
0.000 0.500 0.500
0.500 0.000 0.500
0.500 0.500 0.000
0.500 0.500 0.500
0.000 0.000 0.500
0.000 0.500 0.000
0.500 0.000 0.000
0.241 0.241 0.241
0.260 0.735 0.735
0.265 0.265 0.740
0.265 0.740 0.265
0.735 0.260 0.735
0.735 0.735 0.260
0.740 0.265 0.265
0.759 0.759 0.759
```

Results
The calculation puts the magnetization at 8.00 Bohr magnetons per cell. The energy is -0.2153 Ha/atom. Its space group is No. 166.